Record 1
LaSmSc2Sb2 PBE-GGA relaxed; total energy = -5.96 eV/atom; crystal system = tetragonal; mass density = 6247 kg/m3
1.0
4.4706 0.0000 0.0000
0.0000 4.4706 0.0000
0.0000 0.0000 16.5635
La Sm Sc Sb
2 2 4 4
Cartesian
0.0000 0.0000 0.0000
2.2353 2.2353 8.2817
0.0000 0.0000 5.7934
2.2353 2.2353 14.0751
0.0000 2.2353 2.9386
0.0000 2.2353 11.2204
2.2353 0.0000 2.9386
2.2353 0.0000 11.2204
0.0000 0.0000 9.1155
0.0000 0.0000 13.2809
2.2353 2.2353 0.8338
2.2353 2.2353 4.9991

Record 2
HfCuAgBi PBE-GGA relaxed; total energy = -4.88 eV/atom; crystal system = cubic; mass density = 11366 kg/m3; energy above the most stable polymorph in this dataset = 0.0 meV per atom
1.0
6.8866 0.0000 0.0000
0.0000 6.8866 0.0000
0.0000 0.0000 6.8866
Hf Cu Ag Bi
4 4 4 4
Cartesian
0.0000 0.0000 0.0000
0.0000 3.4433 3.4433
3.4433 0.0000 3.4433
3.4433 3.4433 0.0000
1.7216 1.7216 5.1649
1.7216 5.1649 1.7216
5.1649 1.7216 1.7216
5.1649 5.1649 5.1649
1.7216 1.7216 1.7216
1.7216 5.1649 5.1649
5.1649 1.7216 5.1649
5.1649 5.1649 1.7216
0.0000 0.0000 3.4433
0.0000 3.4433 0.0000
3.4433 0.0000 0.0000
3.4433 3.4433 3.4433

Record 3
Hf2AsC PBE-GGA relaxed; total energy = -9.42 eV/atom; crystal system = orthorhombic; mass density = 11571 kg/m3
1.0
3.4348 0.0000 0.0000
0.0000 5.9475 0.0000
0.0000 0.0000 12.4741
Hf As C
8 4 4
Cartesian
0.0000 0.9901 1.2318
0.0000 0.9901 5.0053
0.0000 4.9575 7.4689
0.0000 4.9575 11.2423
1.7174 1.9837 7.4689
1.7174 1.9837 11.2423
1.7174 3.9638 1.2318
1.7174 3.9638 5.0053
0.0000 0.9948 9.3556
0.0000 4.9528 3.1185
1.7174 1.9790 3.1185
1.7174 3.9685 9.3556
0.0000 2.9738 0.0000
0.0000 2.9738 6.2371
1.7174 0.0000 0.0000
1.7174 0.0000 6.2371

Record 4
HfZrInFe PBE-GGA relaxed; total energy = -7.22 eV/atom; crystal system = cubic; mass density = 9799 kg/m3; energy above the most stable polymorph in this dataset = 0.0 meV per atom
1.0
6.6832 0.0000 0.0000
0.0000 6.6832 0.0000
0.0000 0.0000 6.6832
Hf Zr In Fe
4 4 4 4
Cartesian
0.0000 0.0000 0.0000
0.0000 3.3416 3.3416
3.3416 0.0000 3.3416
3.3416 3.3416 0.0000
1.6708 1.6708 1.6708
1.6708 5.0124 5.0124
5.0124 1.6708 5.0124
5.0124 5.0124 1.6708
0.0000 0.0000 3.3416
0.0000 3.3416 0.0000
3.3416 0.0000 0.0000
3.3416 3.3416 3.3416
1.6708 1.6708 5.0124
1.6708 5.0124 1.6708
5.0124 1.6708 1.6708
5.0124 5.0124 5.0124

Record 5
DySnTe3Au PBE-GGA relaxed; total energy = -4.20 eV/atom; crystal system = monoclinic; mass density = 7825 kg/m3; energy above the most stable polymorph in this dataset = 2.1 meV per atom
1.0
8.2797 0.0000 0.0000
0.0000 4.3121 0.0000
-3.2049 0.0000 10.2345
Dy Sn Te Au
2 2 6 2
Cartesian
1.1164 1.0780 1.8502
3.9585 3.2341 8.3843
-0.5100 3.2341 7.2300
5.5848 1.0780 3.0045
-2.1216 1.0780 8.9478
0.1641 1.0780 4.8061
3.2820 3.2341 1.7422
1.7928 1.0780 8.4923
4.9107 3.2341 5.4284
7.1965 3.2341 1.2868
1.9110 3.2341 4.1272
3.1638 1.0780 6.1073

Record 6
ZrTlAg3S4 PBE-GGA relaxed; total energy = -4.60 eV/atom; crystal system = cubic; mass density = 4956 kg/m3; energy above the most stable polymorph in this dataset = 0.0 meV per atom
1.0
6.3033 0.0000 0.0000
0.0000 6.3033 0.0000
0.0000 0.0000 6.3033
Zr Tl Ag S
1 1 3 4
Cartesian
0.0000 0.0000 0.0000
3.1516 3.1516 3.1516
0.0000 0.0000 3.1516
0.0000 3.1516 0.0000
3.1516 0.0000 0.0000
1.4039 1.4039 4.8994
1.4039 4.8994 1.4039
4.8994 1.4039 1.4039
4.8994 4.8994 4.8994

Record 7
MgCuHgPb PBE-GGA relaxed; total energy = -2.16 eV/atom; crystal system = cubic; mass density = 9316 kg/m3; energy above the most stable polymorph in this dataset = 40.6 meV per atom
1.0
7.0700 0.0000 0.0000
0.0000 7.0700 0.0000
0.0000 0.0000 7.0700
Mg Cu Hg Pb
4 4 4 4
Cartesian
0.0000 0.0000 0.0000
0.0000 3.5350 3.5350
3.5350 0.0000 3.5350
3.5350 3.5350 0.0000
1.7675 1.7675 5.3025
1.7675 5.3025 1.7675
5.3025 1.7675 1.7675
5.3025 5.3025 5.3025
1.7675 1.7675 1.7675
1.7675 5.3025 5.3025
5.3025 1.7675 5.3025
5.3025 5.3025 1.7675
0.0000 0.0000 3.5350
0.0000 3.5350 0.0000
3.5350 0.0000 0.0000
3.5350 3.5350 3.5350

Record 8
LiGaCoRe PBE-GGA relaxed; total energy = -5.77 eV/atom; crystal system = cubic; mass density = 10448 kg/m3; energy above the most stable polymorph in this dataset = 234.7 meV per atom
1.0
5.8924 0.0000 0.0000
0.0000 5.8924 0.0000
0.0000 0.0000 5.8924
Li Ga Co Re
4 4 4 4
Cartesian
0.0000 0.0000 0.0000
0.0000 2.9462 2.9462
2.9462 0.0000 2.9462
2.9462 2.9462 0.0000
0.0000 0.0000 2.9462
0.0000 2.9462 0.0000
2.9462 0.0000 0.0000
2.9462 2.9462 2.9462
1.4731 1.4731 4.4193
1.4731 4.4193 1.4731
4.4193 1.4731 1.4731
4.4193 4.4193 4.4193
1.4731 1.4731 1.4731
1.4731 4.4193 4.4193
4.4193 1.4731 4.4193
4.4193 4.4193 1.4731

Record 9
GdCdCu PBE-GGA relaxed; total energy = -3.21 eV/atom; crystal system = hexagonal; calculated formation energy = -0.126 eV/atom; mass density = 8584 kg/m3; energy above the most stable polymorph in this dataset = 171.3 meV per atom
1.0
6.9655 0.0000 0.0000
-3.4827 6.0323 0.0000
0.0000 0.0000 4.6022
Gd Cd Cu
3 3 3
Cartesian
-1.9591 3.3933 0.0000
1.5236 2.6390 0.0000
3.9182 0.0000 0.0000
0.0000 0.0000 0.0000
0.0000 4.0215 2.3011
3.4827 2.0108 2.3011
-0.7799 1.3508 2.3011
1.5597 0.0000 2.3011
2.7029 4.6815 2.3011

Record 10
Nd4CBr2Cl3 PBE-GGA relaxed; total energy = -5.30 eV/atom; crystal system = monoclinic; mass density = 5130 kg/m3; energy above the most stable polymorph in this dataset = 2.9 meV per atom
1.0
8.9184 -1.9579 0.0000
8.9184 1.9579 0.0000
-1.8743 0.0000 7.9269
Nd C Br Cl
4 1 2 3
Cartesian
-0.4818 0.0000 2.2720
5.5511 0.0000 3.3315
10.4114 0.0000 4.5955
16.4442 0.0000 5.6549
7.9812 0.0000 3.9635
1.3714 0.0000 6.7906
14.5910 0.0000 1.1363
2.4092 0.0000 2.7061
8.9184 0.0000 0.0000
13.5533 0.0000 5.2208

Record 11
KSiAgO3 PBE-GGA relaxed; total energy = -5.63 eV/atom; crystal system = orthorhombic; mass density = 4469 kg/m3
1.0
11.5036 0.0000 0.0000
0.0000 2.8415 0.0000
0.0000 0.0000 10.1418
K Si Ag O
4 4 4 12
Cartesian
2.7092 0.7104 1.4144
3.0426 2.1312 6.4853
8.4610 0.7104 3.6565
8.7944 2.1312 8.7274
0.2483 0.7104 3.8610
5.5035 2.1312 8.9319
6.0001 0.7104 1.2098
11.2552 2.1312 6.2807
0.3771 0.7104 9.1103
5.3747 2.1312 4.0395
6.1289 0.7104 6.1023
11.1265 2.1312 1.0314
0.8747 0.7104 5.5191
0.8718 2.1312 7.6301
1.1994 2.1312 3.2969
4.5524 0.7104 8.3678
4.8800 0.7104 2.5592
4.8771 2.1312 0.4482
6.6264 0.7104 9.6936
6.6235 2.1312 7.5826
6.9511 2.1312 1.7740
10.3042 0.7104 6.8449
10.6318 0.7104 2.5117
10.6289 2.1312 4.6227

Record 12
LaPrB2Pd2N2 PBE-GGA relaxed; total energy = -7.26 eV/atom; crystal system = tetragonal; mass density = 7855 kg/m3
1.0
3.8343 0.0000 0.0000
0.0000 3.8343 0.0000
0.0000 0.0000 7.7973
La Pr B Pd N
1 1 2 2 2
Cartesian
0.0000 0.0000 0.0000
1.9171 1.9171 2.5727
0.0000 0.0000 3.8969
1.9171 1.9171 6.4683
0.0000 1.9171 5.1739
1.9171 0.0000 5.1739
0.0000 0.0000 2.4763
1.9171 1.9171 0.0915

Record 13
HfCuSbAu PBE-GGA relaxed; total energy = -5.34 eV/atom; crystal system = cubic; mass density = 12199 kg/m3; energy above the most stable polymorph in this dataset = 0.0 meV per atom
1.0
6.7338 0.0000 0.0000
0.0000 6.7338 0.0000
0.0000 0.0000 6.7338
Hf Cu Sb Au
4 4 4 4
Cartesian
0.0000 0.0000 0.0000
0.0000 3.3669 3.3669
3.3669 0.0000 3.3669
3.3669 3.3669 0.0000
0.0000 0.0000 3.3669
0.0000 3.3669 0.0000
3.3669 0.0000 0.0000
3.3669 3.3669 3.3669
1.6834 1.6834 1.6834
1.6834 5.0503 5.0503
5.0503 1.6834 5.0503
5.0503 5.0503 1.6834
1.6834 1.6834 5.0503
1.6834 5.0503 1.6834
5.0503 1.6834 1.6834
5.0503 5.0503 5.0503

Record 14
Tm3Hf3Bi2Ir PBE-GGA relaxed; total energy = -7.04 eV/atom; crystal system = hexagonal; mass density = 12646 kg/m3; energy above the most stable polymorph in this dataset = 207.5 meV per atom
1.0
8.1346 0.0000 0.0000
-4.0673 7.0448 0.0000
0.0000 0.0000 3.7864
Tm Hf Bi Ir
3 3 2 1
Cartesian
-3.0584 5.2972 0.0000
1.0090 1.7476 0.0000
6.1167 0.0000 0.0000
-1.5716 2.7221 1.8932
3.1432 0.0000 1.8932
2.4957 4.3227 1.8932
0.0000 4.6965 0.0000
4.0673 2.3483 0.0000
0.0000 0.0000 1.8932

Record 15
Li2SmPt PBE-GGA relaxed; total energy = -4.27 eV/atom; crystal system = orthorhombic; mass density = 7621 kg/m3
1.0
4.6150 0.0000 0.0000
0.0000 5.4661 0.0000
0.0000 0.0000 6.2070
Li Sm Pt
4 2 2
Cartesian
1.1538 0.0510 0.6085
1.1538 2.6820 0.6085
3.4613 2.7840 5.5986
3.4613 5.4151 5.5986
1.1538 1.3665 3.5277
3.4613 4.0996 2.6793
1.1538 4.0996 4.5626
3.4613 1.3665 1.6445

Record 16
ZrBi2Te PBE-GGA relaxed; total energy = -4.88 eV/atom; crystal system = cubic; mass density = 9655 kg/m3
1.0
7.5949 0.0000 0.0000
0.0000 7.5949 0.0000
0.0000 0.0000 7.5949
Zr Bi Te
4 8 4
Cartesian
0.0000 0.0000 0.0000
0.0000 3.7974 3.7974
3.7974 0.0000 3.7974
3.7974 3.7974 0.0000
0.0000 0.0000 3.7974
0.0000 3.7974 0.0000
1.8987 1.8987 5.6962
1.8987 5.6962 1.8987
3.7974 0.0000 0.0000
3.7974 3.7974 3.7974
5.6962 1.8987 1.8987
5.6962 5.6962 5.6962
1.8987 1.8987 1.8987
1.8987 5.6962 5.6962
5.6962 1.8987 5.6962
5.6962 5.6962 1.8987

Record 17
UNi2 PBE-GGA relaxed; total energy = -7.72 eV/atom; crystal system = hexagonal; calculated formation energy = -0.245 eV/atom; mass density = 13765 kg/m3
1.0
4.9105 0.0000 0.0000
-2.4552 4.2526 0.0000
0.0000 0.0000 8.2125
U Ni
4 8
Cartesian
0.0000 2.8351 0.4603
0.0000 2.8351 3.6459
2.4552 1.4175 4.5666
2.4552 1.4175 7.7522
0.0000 0.0000 0.0000
0.0000 0.0000 4.1063
0.0000 1.4081 6.1594
-1.2358 3.5486 6.1594
1.2194 0.7040 2.0531
1.2358 3.5486 6.1594
3.6910 0.7040 2.0531
2.4552 2.8445 2.0531

Record 18
LaZrBe2Si2 PBE-GGA relaxed; total energy = -5.94 eV/atom; crystal system = trigonal; mass density = 4884 kg/m3
1.0
3.8356 0.0000 0.0000
-1.9178 3.3218 0.0000
0.0000 0.0000 8.1209
La Zr Be Si
1 1 2 2
Cartesian
0.0000 0.0000 0.0000
0.0000 0.0000 4.0604
0.0000 2.2145 2.3229
1.9178 1.1072 5.7980
0.0000 2.2145 5.8784
1.9178 1.1072 2.2425

Record 19
Nd2Ga5Hg PBE-GGA relaxed; total energy = -3.63 eV/atom; crystal system = orthorhombic; mass density = 8013 kg/m3
1.0
4.6231 0.0000 0.0000
0.0000 6.6088 0.0000
0.0000 0.0000 11.3640
Nd Ga Hg
4 10 2
Cartesian
0.0000 0.0000 0.0000
0.0000 3.3044 5.6820
2.3116 0.0000 3.7039
2.3116 3.3044 9.3859
0.0000 1.4500 8.4326
0.0000 1.8544 2.7506
0.0000 4.7544 2.7506
0.0000 5.1588 8.4326
2.3116 0.0000 9.1729
2.3116 1.4409 6.7797
2.3116 1.8635 1.0977
2.3116 3.3044 3.4909
2.3116 4.7453 1.0977
2.3116 5.1679 6.7797
0.0000 0.0000 5.8142
0.0000 3.3044 0.1322

Record 20
Ho5Ge10Ir4 PBE-GGA relaxed; total energy = -6.27 eV/atom; crystal system = tetragonal; mass density = 10504 kg/m3
1.0
13.0273 0.0000 0.0000
0.0000 13.0273 0.0000
0.0000 0.0000 4.3220
Ho Ge Ir
10 20 8
Cartesian
0.0000 0.0000 0.0000
1.5038 5.0098 2.1610
2.2585 8.7721 2.1610
4.2552 2.2585 2.1610
5.0098 11.5235 2.1610
6.5137 6.5137 0.0000
8.0175 1.5038 2.1610
8.7721 10.7688 2.1610
10.7688 4.2552 2.1610
11.5235 8.0175 2.1610
0.0902 10.9996 2.1610
0.8725 7.3861 0.0000
2.0277 0.0902 2.1610
2.1361 2.6013 0.0000
2.6013 10.8912 0.0000
3.9123 4.3776 0.0000
4.3776 9.1150 0.0000
4.4859 6.6038 2.1610
5.6412 0.8725 0.0000
6.4235 4.4859 2.1610
6.6038 8.5414 2.1610
7.3861 12.1548 0.0000
8.5414 6.4235 2.1610
8.6497 3.9123 0.0000
9.1150 8.6497 0.0000
10.4260 2.1361 0.0000
10.8912 10.4260 0.0000
10.9996 12.9371 2.1610
12.1548 5.6412 0.0000
12.9371 2.0277 2.1610
0.2539 9.8169 0.0000
3.2104 0.2539 0.0000
3.3032 6.7676 0.0000
6.2597 3.3032 0.0000
6.7676 9.7241 0.0000
9.7241 6.2597 0.0000
9.8169 12.7734 0.0000
12.7734 3.2104 0.0000